Here is a relaxed Sc2PaB6 crystal from the Alexandria database. Energies are from PBE.

```
Sc2PaB6
1.0
3.168 0.000 0.000
1.584 5.681 -0.450
1.584 1.200 5.571
B Sc Pa
6 2 1
direct
0.194 0.051 0.560
0.806 0.440 0.949
0.000 0.798 0.202
0.000 0.202 0.798
0.194 0.560 0.051
0.806 0.949 0.440
0.353 0.147 0.147
0.647 0.853 0.853
0.500 0.500 0.500
```

Relative energy among the computed polymorphs = 258 meV per atom
Magnetization = 0.0 μB/f.u.
Final energy = -7.331 eV/atom
Symmetry = Immm
Fermi-level density of states = 0.4720 states/eV per atom



Here is a relaxed PaGaCoTc crystal from the Alexandria database. Energies are from PBE.

```
PaGaCoTc
1.0
3.549 0.000 0.000
0.000 4.318 0.000
0.000 0.000 4.257
Ga Pa Tc Co
1 1 1 1
direct
0.500 0.000 0.500
0.500 0.500 0.000
0.000 0.500 0.500
0.000 0.000 0.000
```

Relative energy among the computed polymorphs = 0 meV per atom
Magnetization = 0.0 μB/f.u.
Final energy = -7.859 eV/atom
Symmetry = Pmmm
Fermi-level density of states = 0.3368 states/eV per atom